(1)
The following is a DFT calculation (GGA-PBE) of a relaxed HoGaCuPt3 crystal.

Lattice parameters (Å, degrees): 5.652 13.021 5.694 90.00 90.00 90.00
Space group Cmcm (No. 63)
Inequivalent atoms, fractional coordinates:
Ho 0.000 0.170 0.250 (multiplicity 4)
Ga 0.000 0.124 0.750 (multiplicity 4)
Cu 0.000 0.374 0.250 (multiplicity 4)
Pt 0.000 0.315 0.750 (multiplicity 4)
Pt 0.245 0.500 0.000 (multiplicity 8)

Summary:
density of states at the Fermi level: 7.95 states/eV per cell
ΔE_f: -3.70 eV per formula unit
mass density: 14.00 Mg/m³
total magnetic moment: 0.00 Bohr magnetons per cell

=====

(2)
The following is a DFT calculation (GGA-PBE) of a relaxed RbInPb crystal.

Lattice parameters (Å, degrees): 9.183 5.419 8.765 90.00 90.00 90.00
Space group Pnma (No. 62)
Inequivalent atoms, fractional coordinates:
Rb 0.000 0.250 0.175 (multiplicity 4)
In 0.168 0.250 0.591 (multiplicity 4)
Pb 0.170 0.750 0.407 (multiplicity 4)

Summary:
density of states at the Fermi level: 0.92 states/eV per cell
ΔE_f: -0.48 eV per formula unit
mass density: 6.20 Mg/m³
total magnetic moment: 0.00 Bohr magnetons per cell

=====

(3)
The following is a DFT calculation (GGA-PBE) of a relaxed Zn4Cu3Au4 crystal.

Lattice parameters (Å, degrees): 3.019 3.575 15.634 96.54 95.43 90.20
Space group P-1 (No. 2)
Inequivalent atoms, fractional coordinates:
Zn 0.094 0.094 0.187 (multiplicity 2)
Zn 0.274 0.273 0.548 (multiplicity 2)
Cu 0.000 0.000 0.000 (multiplicity 1)
Cu 0.364 0.366 0.730 (multiplicity 2)
Au 0.183 0.182 0.364 (multiplicity 2)
Au 0.453 0.452 0.906 (multiplicity 2)

Summary:
density of states at the Fermi level: 3.24 states/eV per cell
ΔE_f: -1.38 eV per formula unit
mass density: 12.34 Mg/m³
total magnetic moment: 0.00 Bohr magnetons per cell

=====

Calculated values (eV per formula unit) of calculated total energy for the records, taken in order: -33.5 -7.9 -31.9.